1.
Here is crystalline LiAlGa2Re at its relaxed geometry from Alexandria. Energies are from PBEsol.

a = 4.7600 Å, b = 4.7600 Å, c = 4.8132 Å
α = 90.00°, β = 90.00°, γ = 90.00°
Element x y z (fractional)
Re  0.0000  0.0000  0.0000
Li  0.0000  0.0000  0.5000
Ga  0.5000  0.0000  0.0000
Al  0.5000  0.5000  0.5000
Ga  0.0000  0.5000  0.0000

Results
**ΔH_f (0 K)**: 0.80 eV/atom
**Magnetization**: 0.001 Bohr magnetons per cell
**V**: 21.8 Å³ per atom

2.
Here is crystalline LiAlGaSi2 at its relaxed geometry from Alexandria. Energies are from PBEsol.

a = 4.4100 Å, b = 4.4100 Å, c = 4.4192 Å
α = 90.00°, β = 90.00°, γ = 90.00°
Element x y z (fractional)
Ga  0.0000  0.0000  0.5000
Li  0.0000  0.0000  0.0000
Al  0.5000  0.5000  0.5000
Si  0.5000  0.0000  0.0000
Si  0.0000  0.5000  0.0000

Results
**E_form (uncorrected)**: 0.6196 eV/atom
**Magnetization**: 0.000 Bohr magnetons per cell
**V**: 17.2 Å³ per atom

3.
Here is crystalline MgAlGa at its relaxed geometry from Alexandria. Energies are from PBEsol.

a = 4.0576 Å, b = 6.8525 Å, c = 7.8865 Å
α = 90.00°, β = 90.00°, γ = 90.00°
Element x y z (fractional)
Mg  0.7500  0.0343  0.1665
Al  0.2500  0.3611  0.0576
Ga  0.7500  0.2605  0.8690
Mg  0.2500  0.4657  0.6665
Ga  0.7500  0.7605  0.6310
Al  0.7500  0.1389  0.5576
Ga  0.2500  0.7395  0.1310
Al  0.2500  0.8611  0.4424
Mg  0.2500  0.9657  0.8335
Ga  0.2500  0.2395  0.3690
Mg  0.7500  0.5343  0.3335
Al  0.7500  0.6389  0.9424

Results
**ΔH_f (0 K)**: -0.12 eV/atom
**Magnetization**: 0.000 Bohr magnetons per cell
**V**: 18.3 Å³ per atom

4.
Here is crystalline Mg17Al11Ga at its relaxed geometry from Alexandria. Energies are from PBEsol.

a = 9.0597 Å, b = 9.0511 Å, c = 9.0511 Å
α = 109.44°, β = 109.50°, γ = 109.50°
Element x y z (fractional)
Mg  0.6021  0.6016  0.2868
Mg  0.0010  0.3985  0.6848
Al  0.6337  0.6329  0.8180
Mg  0.0000  0.6543  0.0000
Al  0.9995  0.1857  0.3675
Al  0.1861  0.0006  0.3677
Mg  0.7154  0.3175  0.3175
Mg  0.9994  0.0000  0.0000
Ga  0.8177  0.6302  0.6302
Al  0.8144  0.8142  0.1816
Mg  0.6840  0.0003  0.3989
Al  0.3668  0.9997  0.1852
Mg  0.2865  0.6022  0.6022
Mg  0.3167  0.7148  0.3164
Mg  0.0010  0.6848  0.3985
Mg  0.0000  0.0000  0.6543
Mg  0.6547  0.0000  0.0000
Mg  0.6021  0.2868  0.6016
Al  0.1861  0.3677  0.0006
Mg  0.3167  0.3164  0.7148
Al  0.1784  0.8122  0.8122
Mg  0.3984  0.6843  0.0000
Al  0.9995  0.3675  0.1857
Mg  0.6840  0.3989  0.0003
Mg  0.3984  0.0000  0.6843
Al  0.6337  0.8180  0.6329
Al  0.8144  0.1816  0.8142
Mg  0.3427  0.3441  0.3441
Al  0.3668  0.1852  0.9997

Results
**ΔH_f (0 K)**: -0.03 eV/atom
**Magnetization**: 0.000 Bohr magnetons per cell
**V**: 19.7 Å³ per atom